The following is a PBE calculation of BaLiMg4 after structural relaxation, from Alexandria.

Values from the calculation:
**Energy above the lowest structure with this stoichiometry**: 0.0000 eV per atom

Cell and atoms, written as extended XYZ:
```
12
Lattice="9.194 0.000 0.000 0.000 4.679 0.000 0.000 0.000 7.963" Properties=species:S:1:pos:R:3 pbc="T T T"
Ba 2.299 0.000 0.797
Ba 6.896 0.000 7.166
Li 2.299 0.000 5.493
Li 6.896 0.000 2.470
Mg 0.000 0.000 3.982
Mg 0.475 2.339 6.190
Mg 2.299 2.339 3.611
Mg 4.123 2.339 6.190
Mg 4.597 0.000 3.982
Mg 5.072 2.339 1.773
Mg 6.896 2.339 4.352
Mg 8.720 2.339 1.773
```